A relaxed BeZnOs2 crystal, computed with PBE.

For the formation energy, the calculation gives 0.365 eV/atom. As for the total magnetization: 0.0 μB/f.u. The volume comes out at 13.44 Å³/atom. Its mass density is 14.05 g/cm³. The calculation puts the total energy at -6.50 eV per atom.

Cell and atoms, written as POSCAR:
```
BeZnOs2
1.0
2.680 0.004 0.000
-1.250 2.371 0.000
0.000 0.000 8.454
Be Zn Os
1 1 2
direct
0.500 0.500 0.755 Be
0.000 0.000 0.519 Zn
0.500 0.500 0.249 Os
0.000 0.000 0.977 Os
```